# PBE-GGA LiAs2OsPb, optimized geometry
data_LiAs2OsPb
_chemical_formula_sum 'Li1 As2 Os1 Pb1'
_symmetry_space_group_name_H-M 'P 4/m m m'
_symmetry_Int_Tables_number 123
_symmetry_space_group_name_Hall '-P 4 2'
_cell_length_a 5.466
_cell_length_b 5.466
_cell_length_c 5.134
_cell_angle_alpha 90.00
_cell_angle_beta 90.00
_cell_angle_gamma 90.00
loop_
_atom_site_label
_atom_site_type_symbol
_atom_site_fract_x
_atom_site_fract_y
_atom_site_fract_z
_atom_site_occupancy
Li1 Li 0.000 0.000 0.000 1
As1 As 0.000 0.500 0.500 1
Os1 Os 0.500 0.500 0.000 1
Pb1 Pb 0.500 0.500 0.500 1
# - Crystal system: tetragonal
# - VASP energy: -3.6679 eV/atom
# - Formation enthalpy at 0 K: 1.56 eV/atom

=====

# PBE-GGA LiAs2OsPt, optimized geometry
data_LiAs2OsPt
_chemical_formula_sum 'Li1 As2 Os1 Pt1'
_symmetry_space_group_name_H-M 'P 4/m m m'
_symmetry_Int_Tables_number 123
_symmetry_space_group_name_Hall '-P 4 2'
_cell_length_a 4.351
_cell_length_b 4.351
_cell_length_c 4.132
_cell_angle_alpha 90.00
_cell_angle_beta 90.00
_cell_angle_gamma 90.00
loop_
_atom_site_label
_atom_site_type_symbol
_atom_site_fract_x
_atom_site_fract_y
_atom_site_fract_z
_atom_site_occupancy
Li1 Li 0.000 0.000 0.000 1
As1 As 0.000 0.500 0.000 1
Os1 Os 0.000 0.000 0.500 1
Pt1 Pt 0.500 0.500 0.500 1
# - Crystal system: tetragonal
# - VASP energy: -4.7520 eV/atom
# - Formation enthalpy at 0 K: 0.94 eV/atom

=====

# PBE-GGA LiRe2AsOs, optimized geometry
data_LiRe2AsOs
_chemical_formula_sum 'Li1 Re2 As1 Os1'
_symmetry_space_group_name_H-M 'P 4/m m m'
_symmetry_Int_Tables_number 123
_symmetry_space_group_name_Hall '-P 4 2'
_cell_length_a 4.723
_cell_length_b 4.723
_cell_length_c 4.480
_cell_angle_alpha 90.00
_cell_angle_beta 90.00
_cell_angle_gamma 90.00
loop_
_atom_site_label
_atom_site_type_symbol
_atom_site_fract_x
_atom_site_fract_y
_atom_site_fract_z
_atom_site_occupancy
Li1 Li 0.000 0.000 0.000 1
Re1 Re 0.000 0.500 0.500 1
As1 As 0.500 0.500 0.000 1
Os1 Os 0.000 0.000 0.500 1
# - Crystal system: tetragonal
# - VASP energy: -6.9127 eV/atom
# - Formation enthalpy at 0 K: 1.63 eV/atom

=====

# PBE-GGA LiAs2OsSe, optimized geometry
data_LiAs2OsSe
_chemical_formula_sum 'Li1 As2 Os1 Se1'
_symmetry_space_group_name_H-M 'P 4/m m m'
_symmetry_Int_Tables_number 123
_symmetry_space_group_name_Hall '-P 4 2'
_cell_length_a 4.646
_cell_length_b 4.646
_cell_length_c 5.780
_cell_angle_alpha 90.00
_cell_angle_beta 90.00
_cell_angle_gamma 90.00
loop_
_atom_site_label
_atom_site_type_symbol
_atom_site_fract_x
_atom_site_fract_y
_atom_site_fract_z
_atom_site_occupancy
Li1 Li 0.000 0.000 0.000 1
As1 As 0.000 0.500 0.500 1
Os1 Os 0.500 0.500 0.500 1
Se1 Se 0.500 0.500 0.000 1
# - Uncorrected formation energy: 312 meV per atom
# - Crystal system: tetragonal
# - VASP energy: -4.8736 eV/atom
# - Energy above the most stable polymorph in this dataset: 0 meV/atom

=====

# PBE-GGA LiAsOsSe2, optimized geometry
data_LiAsOsSe2
_chemical_formula_sum 'Li1 As1 Os1 Se2'
_symmetry_space_group_name_H-M 'P 4/m m m'
_symmetry_Int_Tables_number 123
_symmetry_space_group_name_Hall '-P 4 2'
_cell_length_a 5.146
_cell_length_b 5.146
_cell_length_c 4.641
_cell_angle_alpha 90.00
_cell_angle_beta 90.00
_cell_angle_gamma 90.00
loop_
_atom_site_label
_atom_site_type_symbol
_atom_site_fract_x
_atom_site_fract_y
_atom_site_fract_z
_atom_site_occupancy
Li1 Li 0.000 0.000 0.000 1
As1 As 0.500 0.500 0.000 1
Os1 Os 0.500 0.500 0.500 1
Se1 Se 0.000 0.500 0.500 1
# - Uncorrected formation energy: 335 meV per atom
# - Crystal system: tetragonal
# - VASP energy: -4.6176 eV/atom
# - Energy above the most stable polymorph in this dataset: 0 meV/atom

=====

# PBE-GGA LiSiAs2Os, optimized geometry
data_LiSiAs2Os
_chemical_formula_sum 'Li1 Si1 As2 Os1'
_symmetry_space_group_name_H-M 'P 4/m m m'
_symmetry_Int_Tables_number 123
_symmetry_space_group_name_Hall '-P 4 2'
_cell_length_a 4.663
_cell_length_b 4.663
_cell_length_c 4.122
_cell_angle_alpha 90.00
_cell_angle_beta 90.00
_cell_angle_gamma 90.00
loop_
_atom_site_label
_atom_site_type_symbol
_atom_site_fract_x
_atom_site_fract_y
_atom_site_fract_z
_atom_site_occupancy
Li1 Li 0.000 0.000 0.000 1
Si1 Si 0.000 0.000 0.500 1
As1 As 0.000 0.500 0.500 1
Os1 Os 0.500 0.500 0.000 1
# - Uncorrected formation energy: 1201 meV per atom
# - Crystal system: tetragonal
# - VASP energy: -4.3717 eV/atom